{"formula": "Mo2IrOs", "functional": "PBE", "state": "relaxed", "e_above_lowest_polymorph_kj_per_mol_atoms": 13.2, "formation_enthalpy_0k_mev_per_atom": 4, "space_group": "No. 166", "total_energy_ev_per_fu": -41.74, "magnetic_moment_mub_per_cell": 0.000, "lattice": [[9.243, -0.001, 0.000], [8.830, 2.734, 0.000], [8.830, 1.335, 2.385]], "species": ["Os", "Mo", "Mo", "Ir"], "fractional_positions": [[0.250, 0.250, 0.250], [0.500, 0.500, 0.500], [0.000, 0.000, 0.000], [0.750, 0.750, 0.750]]}